(1)
Below is a geometry-optimized Zn2TcRh structure, with properties calculated at the PBE level.

Values from the calculation:
space group = No. 119
DFT formation energy = 0.0075 eV/atom

Cell: 4.6626 4.6626 4.6626 Å, 130.90 130.90 71.98°
Sites, in units of the cell vectors:
1 Zn 0.2500 0.7500 0.5000
2 Zn 0.0000 0.0000 0.0000
3 Tc 0.7500 0.2500 0.5000
4 Rh 0.5000 0.5000 0.0000

(2)
Below is a geometry-optimized Zn2TcRh structure, with properties calculated at the PBE level.

Values from the calculation:
space group = No. 216
DFT formation energy = 0.0492 eV/atom

Cell: 4.3205 4.3205 4.3205 Å, 60.00 60.00 60.00°
Sites, in units of the cell vectors:
1 Rh 0.5000 0.5000 0.5000
2 Zn 0.2500 0.2500 0.2500
3 Zn 0.0000 0.0000 0.0000
4 Tc 0.7500 0.7500 0.7500

(3)
Below is a geometry-optimized ZnTc2Rh structure, with properties calculated at the PBE level.

Values from the calculation:
space group = No. 123
DFT formation energy = 0.0671 eV/atom

Cell: 2.6799 2.6799 7.9734 Å, 90.00 90.00 90.00°
Sites, in units of the cell vectors:
1 Zn 0.5000 0.5000 0.2500
2 Tc 0.0000 0.0000 0.9965
3 Tc 0.0000 0.0000 0.5035
4 Rh 0.5000 0.5000 0.7500